1.
The following is a DFT calculation (PBE) of crystalline TlHO2 at its relaxed geometry.

Cell lengths 4.124, 4.124, 4.124 Å; angles 59.24, 59.24, 59.24 degrees
Sites, in units of the cell vectors:
H (0.027, 0.027, 0.027)
O (0.123, 0.123, 0.123)
O (0.659, 0.659, 0.659)
Tl (0.442, 0.442, 0.442)

Space group: R3m, No. 160


2.
The following is a DFT calculation (PBE) of crystalline TlH3O at its relaxed geometry.

Cell lengths 6.372, 5.644, 4.383 Å; angles 90.00, 90.00, 111.21 degrees
Sites, in units of the cell vectors:
H (0.453, 0.170, 0.428)
Tl (0.887, 0.679, 0.250)
H (0.876, 0.492, 0.750)
H (0.453, 0.170, 0.072)
Tl (0.113, 0.321, 0.750)
H (0.547, 0.830, 0.572)
H (0.124, 0.508, 0.250)
O (0.551, 0.188, 0.250)
O (0.449, 0.812, 0.750)
H (0.547, 0.830, 0.928)

Energy above the most stable polymorph in this dataset (meV/atom): 0
Space group: P2_1/m, No. 11


3.
The following is a DFT calculation (PBE) of crystalline TlHO2 at its relaxed geometry.

Cell lengths 10.140, 4.517, 4.517 Å; angles 85.04, 124.87, 55.13 degrees
Sites, in units of the cell vectors:
O (0.827, 0.228, 0.081)
H (0.270, 0.296, 0.275)
H (0.770, 0.225, 0.204)
O (0.163, 0.256, 0.443)
Tl (0.258, 0.644, 0.675)
Tl (0.758, 0.825, 0.856)
O (0.327, 0.419, 0.272)
O (0.663, 0.057, 0.244)

Space group: Cc, No. 9


4.
The following is a DFT calculation (PBE) of crystalline TlHO2 at its relaxed geometry.

Cell lengths 10.098, 6.372, 6.372 Å; angles 93.07, 93.78, 86.22 degrees
Sites, in units of the cell vectors:
Tl (0.603, 0.787, 0.392)
H (0.828, 0.133, 0.940)
Tl (0.103, 0.108, 0.713)
H (0.905, 0.325, 0.412)
Tl (0.397, 0.213, 0.608)
H (0.172, 0.867, 0.060)
H (0.672, 0.440, 0.633)
O (0.512, 0.886, 0.737)
O (0.256, 0.498, 0.441)
H (0.095, 0.675, 0.588)
O (0.750, 0.992, 0.492)
H (0.405, 0.088, 0.175)
O (0.471, 0.588, 0.229)
Tl (0.123, 0.395, 0.170)
O (0.529, 0.412, 0.771)
O (0.988, 0.237, 0.386)
O (0.244, 0.941, 0.998)
O (0.756, 0.059, 0.002)
O (0.250, 0.397, 0.897)
O (0.750, 0.603, 0.103)
O (0.012, 0.763, 0.614)
O (0.250, 0.008, 0.508)
Tl (0.377, 0.670, 0.895)
Tl (0.877, 0.605, 0.830)
Tl (0.897, 0.892, 0.287)
H (0.328, 0.560, 0.367)
H (0.595, 0.912, 0.825)
O (0.029, 0.729, 0.088)
O (0.744, 0.502, 0.559)
Tl (0.623, 0.330, 0.105)
O (0.488, 0.114, 0.263)
O (0.971, 0.271, 0.912)

Space group: C2/c, No. 15


5.
The following is a DFT calculation (PBE) of crystalline TlHO2 at its relaxed geometry.

Cell lengths 3.887, 3.887, 3.887 Å; angles 60.00, 60.00, 60.00 degrees
Sites, in units of the cell vectors:
Tl (0.500, 0.500, 0.500)
H (0.000, 0.000, 0.000)
O (0.250, 0.250, 0.250)
O (0.750, 0.750, 0.750)

Space group: Fm-3m, No. 225


6.
The following is a DFT calculation (PBE) of crystalline Tl2HO at its relaxed geometry.

Cell lengths 3.579, 5.177, 10.815 Å; angles 90.00, 90.00, 90.00 degrees
Sites, in units of the cell vectors:
Tl (0.250, 0.843, 0.140)
Tl (0.750, 0.708, 0.448)
Tl (0.750, 0.343, 0.860)
H (0.750, 0.296, 0.130)
Tl (0.250, 0.208, 0.552)
H (0.250, 0.796, 0.870)
O (0.750, 0.153, 0.071)
O (0.250, 0.653, 0.929)

Energy above the most stable polymorph in this dataset (meV/atom): 0
Space group: Pmn2_1, No. 31


7.
The following is a DFT calculation (PBE) of crystalline TlHO2 at its relaxed geometry.

Cell lengths 5.652, 6.722, 5.379 Å; angles 90.00, 90.00, 90.00 degrees
Sites, in units of the cell vectors:
O (0.095, 0.395, 0.763)
Tl (0.729, 0.431, 0.947)
O (0.405, 0.895, 0.263)
Tl (0.229, 0.069, 0.947)
O (0.115, 0.883, 0.630)
O (0.615, 0.617, 0.630)
H (0.796, 0.567, 0.410)
O (0.385, 0.383, 0.130)
Tl (0.771, 0.931, 0.447)
H (0.704, 0.067, 0.910)
H (0.204, 0.433, 0.910)
O (0.905, 0.605, 0.263)
Tl (0.271, 0.569, 0.447)
O (0.595, 0.105, 0.763)
O (0.885, 0.117, 0.130)
H (0.296, 0.933, 0.410)

Space group: Pna2_1, No. 33


8.
The following is a DFT calculation (PBE) of crystalline TlHO2 at its relaxed geometry.

Cell lengths 19.162, 3.351, 8.249 Å; angles 90.00, 154.22, 90.00 degrees
Sites, in units of the cell vectors:
O (0.021, 0.290, 0.711)
O (0.553, 0.503, 0.827)
O (0.053, 0.997, 0.327)
O (0.521, 0.210, 0.211)
O (0.947, 0.003, 0.673)
Tl (0.726, 0.967, 0.969)
O (0.979, 0.710, 0.289)
H (0.995, 0.566, 0.706)
H (0.505, 0.066, 0.794)
Tl (0.274, 0.033, 0.031)
Tl (0.774, 0.467, 0.531)
H (0.005, 0.434, 0.294)
Tl (0.226, 0.533, 0.469)
O (0.447, 0.497, 0.173)
H (0.495, 0.934, 0.206)
O (0.479, 0.790, 0.789)

Space group: P2_1/c, No. 14


9.
The following is a DFT calculation (PBE) of crystalline TlHO2 at its relaxed geometry.

Cell lengths 13.200, 6.168, 6.168 Å; angles 88.47, 113.54, 66.46 degrees
Sites, in units of the cell vectors:
H (0.909, 0.884, 0.445)
O (0.028, 0.764, 0.141)
O (0.704, 0.748, 0.622)
O (0.750, 0.143, 0.643)
Tl (0.103, 0.814, 0.914)
O (0.974, 0.730, 0.577)
O (0.026, 0.270, 0.423)
H (0.768, 0.149, 0.501)
O (0.250, 0.365, 0.865)
O (0.972, 0.236, 0.859)
H (0.091, 0.116, 0.555)
O (0.204, 0.878, 0.752)
O (0.296, 0.252, 0.378)
O (0.528, 0.359, 0.736)
O (0.750, 0.635, 0.135)
O (0.796, 0.122, 0.248)
Tl (0.860, 0.513, 0.526)
H (0.732, 0.001, 0.649)
O (0.250, 0.857, 0.357)
O (0.474, 0.923, 0.770)
O (0.472, 0.641, 0.264)
O (0.526, 0.077, 0.230)
Tl (0.397, 0.414, 0.314)
H (0.409, 0.055, 0.616)
Tl (0.140, 0.487, 0.474)
Tl (0.603, 0.586, 0.686)
H (0.268, 0.999, 0.351)
Tl (0.897, 0.186, 0.086)
Tl (0.360, 0.974, 0.987)
Tl (0.640, 0.026, 0.013)
H (0.232, 0.851, 0.499)
H (0.591, 0.945, 0.384)

Space group: C2/c, No. 15


10.
The following is a DFT calculation (PBE) of crystalline TlHO2 at its relaxed geometry.

Cell lengths 4.365, 4.645, 11.042 Å; angles 90.00, 90.00, 90.00 degrees
Sites, in units of the cell vectors:
O (0.530, 0.750, 0.337)
Tl (0.035, 0.750, 0.368)
H (0.715, 0.250, 0.400)
H (0.215, 0.250, 0.100)
O (0.935, 0.250, 0.419)
Tl (0.465, 0.250, 0.868)
O (0.565, 0.750, 0.919)
H (0.285, 0.750, 0.600)
O (0.470, 0.250, 0.663)
O (0.065, 0.750, 0.581)
Tl (0.965, 0.250, 0.632)
H (0.785, 0.750, 0.900)
O (0.030, 0.750, 0.163)
O (0.970, 0.250, 0.837)
Tl (0.535, 0.750, 0.132)
O (0.435, 0.250, 0.081)

Space group: Pnma, No. 62


11.
The following is a DFT calculation (PBE) of crystalline TlH4O2 at its relaxed geometry.

Cell lengths 3.720, 3.720, 6.366 Å; angles 73.01, 73.01, 90.00 degrees
Sites, in units of the cell vectors:
O (0.376, 0.376, 0.249)
H (0.291, 0.291, 0.418)
H (0.000, 0.500, 0.000)
O (0.624, 0.624, 0.751)
Tl (0.000, 0.000, 0.000)
H (0.500, 0.000, 0.000)
H (0.709, 0.709, 0.582)

Energy above the most stable polymorph in this dataset (meV/atom): 0
Space group: I4/mmm, No. 139


12.
The following is a DFT calculation (PBE) of crystalline Tl2HO2 at its relaxed geometry.

Cell lengths 4.140, 4.140, 5.785 Å; angles 69.03, 69.03, 90.00 degrees
Sites, in units of the cell vectors:
Tl (0.643, 0.643, 0.713)
O (0.750, 0.250, 0.500)
O (0.250, 0.750, 0.500)
H (0.000, 0.000, 0.000)
Tl (0.357, 0.357, 0.287)

Energy above the most stable polymorph in this dataset (meV/atom): 157
Space group: I4/mmm, No. 139


Number 1: volume 12.184 Å³/atom, total magnetization 0.00 μB/f.u., final energy -17.7 eV/cell. Number 2: volume 14.693 Å³/atom, total magnetization 0.00 μB/f.u., final energy -38.9 eV/cell. Number 3: volume 13.735 Å³/atom, total magnetization 0.00 μB/f.u., final energy -37.1 eV/cell. Number 4: volume 12.742 Å³/atom, total magnetization 0.00 μB/f.u., final energy -147.8 eV/cell. Number 5: volume 10.380 Å³/atom, total magnetization 0.00 μB/f.u., final energy -13.8 eV/cell. Number 6: volume 25.046 Å³/atom, total magnetization 0.00 μB/f.u., final energy -30.4 eV/cell. Number 7: volume 12.772 Å³/atom, total magnetization 0.00 μB/f.u., final energy -74.2 eV/cell. Number 8: volume 14.397 Å³/atom, total magnetization 0.00 μB/f.u., final energy -69.4 eV/cell. Number 9: volume 12.861 Å³/atom, total magnetization 0.00 μB/f.u., final energy -147.3 eV/cell. Number 10: volume 13.992 Å³/atom, total magnetization 0.00 μB/f.u., final energy -74.2 eV/cell. Number 11: volume 11.462 Å³/atom, total magnetization 0.68 μB/f.u., final energy -25.2 eV/cell. Number 12: volume 17.103 Å³/atom, total magnetization 1.00 μB/f.u., final energy -18.4 eV/cell.